Ta2MnIn PBE relaxed; ΔE_f = 0.287 eV/atom
1.0
9.088 -0.006 -0.004
8.571 3.023 -0.004
8.571 1.464 2.644
Ta In Mn
2 1 1
Direct
0.007 0.007 0.007 Ta
0.255 0.255 0.255 Ta
0.495 0.495 0.495 In
0.744 0.744 0.744 Mn

Cs2LiInI4 PBE relaxed; energy relative to the elements, uncorrected = -1123 meV/atom
1.0
-0.061 10.053 -1.641
-5.090 -1.329 -8.723
-3.711 -3.827 8.787
I Cs In Li
8 4 2 2
Direct
0.760 0.743 0.967 I
0.243 0.260 0.467 I
0.757 0.740 0.533 I
0.268 0.698 0.483 I
0.732 0.302 0.517 I
0.198 0.768 0.983 I
0.240 0.257 0.033 I
0.802 0.232 0.017 I
0.000 0.000 0.500 Cs
0.500 0.500 0.000 Cs
0.500 0.000 0.000 Cs
0.500 0.000 0.500 Cs
0.000 0.500 0.000 In
0.000 0.500 0.500 In
0.000 0.000 0.000 Li
0.500 0.500 0.500 Li

| no. | total moment (μB per cell) | D(E_F) (states/eV/atom) | V (Å³ per atom) |
| --- | --- | --- | --- |
| 1 | 1.80 | 0.6557 | 18.2 |
| 2 | 0.00 | 0.0000 | 47.1 |